## PrPaMn2O8 (GGA+U)

Data for a geometry-optimized PrPaMn2O8 structure.

a = 5.216 Å, b = 5.216 Å, c = 6.846 Å
α = 112.39°, β = 112.39°, γ = 90.00°
Each line ends with the local moment (μB).
Positions (direct):
Mn 0.500 0.500 0.000  3.84
O 0.143 0.609 0.864  -0.04
Pa 0.000 0.000 0.000  0.14
O 0.323 0.912 0.344  -0.04
O 0.745 0.857 0.136  -0.04
O 0.021 0.431 0.344  -0.04
O 0.569 0.677 0.656  -0.04
Mn 0.250 0.750 0.500  2.15
O 0.391 0.279 0.136  -0.04
Pr 0.750 0.250 0.500  0.02
O 0.721 0.255 0.864  -0.04
O 0.088 0.979 0.656  -0.04

## Properties
Total DFT energy (no corrections)   -8.036 eV per atom